# SrMgMn2 | Alexandria via LeMat-Bulk | PBE-GGA | relaxed
# energy relative to the elements	344.2	meV/atom
# DFT total energy	-5.060	eV/atom
# M_tot	0.6	μB/f.u.
data_SrMgMn2
_chemical_formula_sum 'Sr3 Mg3 Mn6'
_cell_length_a 4.2293
_cell_length_b 4.2293
_cell_length_c 18.5737
_cell_angle_alpha 90.00
_cell_angle_beta 90.00
_cell_angle_gamma 120.00
_space_group_name_H-M_alt 'R 3 m'
_space_group_IT_number 160
_space_group_name_Hall 'R 3 -2"'
loop_
_atom_site_label
_atom_site_fract_x
_atom_site_fract_y
_atom_site_fract_z
Sr1 0.0000 0.0000 0.0000
Mg1 0.0000 0.0000 0.8051
Mn1 0.0000 0.0000 0.2092
Mn2 0.0000 0.0000 0.5403

***

# LaMg2CdIr | Alexandria via LeMat-Bulk | PBE-GGA | relaxed
# energy relative to the elements	-283.2	meV/atom
# DFT total energy	-3.862	eV/atom
# M_tot	0.0	μB/f.u.
data_LaMg2CdIr
_chemical_formula_sum 'La1 Mg2 Cd1 Ir1'
_cell_length_a 5.140
_cell_length_b 5.140
_cell_length_c 5.380
_cell_angle_alpha 90.00
_cell_angle_beta 90.00
_cell_angle_gamma 90.00
_space_group_name_H-M_alt 'P 4/m m m'
_space_group_IT_number 123
_space_group_name_Hall '-P 4 2'
loop_
_atom_site_label
_atom_site_fract_x
_atom_site_fract_y
_atom_site_fract_z
La1 0.000 0.000 0.000
Mg1 0.000 0.500 0.500
Cd1 0.500 0.500 0.000
Ir1 0.000 0.000 0.500